An optimized crystal structure of KBeSi2, computed with PBE.

Cell: 3.255 3.255 7.273 Å, 90.00 90.00 90.00°
Space group P4mm (No. 99)
Symmetry-distinct sites (fractional):
K  0.000  0.000  0.000 [1 per cell]
Be  0.500  0.500  0.640 [1 per cell]
Si  0.000  0.000  0.530 [1 per cell]
Si  0.500  0.500  0.342 [1 per cell]

Calculated values
E_form (uncorrected) = 0.430 eV/atom